(1)
The following is a DFT calculation (PBE) of a geometry-optimized SiPPt2 structure.

Unit cell a=2.7536 b=5.2373 c=8.5573 alpha=90.00 beta=90.00 gamma=90.00
Last column: nearest neighbours and their distance in Å.
Space group Immm (No. 71)
Inequivalent atoms, fractional coordinates:
Si1 0.0000 0.0000 0.0000  4 Pt 2.46, 2 Si 2.75
P1 0.0000 0.0000 0.5000  4 Pt 2.63, 2 P 2.75
Pt1 0.0000 0.5000 0.2612  2 Si 2.46, 2 P 2.63, 2 Pt 2.75

Calculated values
Its total magnetization is 0.000 μB/atom. As for the uncorrected formation energy: 0.019 eV/atom. The total DFT energy (no corrections) is -5.710 eV per atom.

---

(2)
The following is a DFT calculation (PBE) of a geometry-optimized SiPPt2 structure.

Unit cell a=3.7311 b=3.7311 c=8.5135 alpha=90.00 beta=90.00 gamma=90.00
Last column: nearest neighbours and their distance in Å.
Space group I-4m2 (No. 119)
Inequivalent atoms, fractional coordinates:
Si1 0.0000 0.0000 0.0000  8 Pt 2.64-2.83, 4 P 2.83
P1 0.0000 0.5000 0.7500  8 Pt 2.64-2.83, 4 Si 2.83
Pt1 0.0000 0.0000 0.5000  4 Si 2.64, 4 Pt 2.83, 4 P 2.83
Pt2 0.0000 0.5000 0.2500  4 P 2.64, 4 Si 2.83, 4 Pt 2.83

Calculated values
Its total magnetization is 0.000 μB/atom. As for the uncorrected formation energy: -0.042 eV/atom. The total DFT energy (no corrections) is -5.771 eV per atom.

---

(3)
The following is a DFT calculation (PBE) of a geometry-optimized SiPPt structure.

Unit cell a=2.8908 b=2.8908 c=10.8019 alpha=90.00 beta=90.00 gamma=90.00
Last column: nearest neighbours and their distance in Å.
Space group I4mm (No. 107)
Inequivalent atoms, fractional coordinates:
Si1 0.0000 0.0000 0.0000  4 Pt 2.62, 4 P 2.83, 4 Si 2.89
P1 0.0000 0.0000 0.6805  4 Pt 2.74, 4 Si 2.83, 4 P 2.89
Pt1 0.0000 0.0000 0.3488  4 Si 2.62, 4 P 2.74, 4 Pt 2.89

Calculated values
Its total magnetization is 0.000 μB/atom. As for the uncorrected formation energy: 0.145 eV/atom. The total DFT energy (no corrections) is -5.479 eV per atom.

---

(4)
The following is a DFT calculation (PBE) of a geometry-optimized SiP2Pt structure.

Unit cell a=3.0308 b=3.1358 c=6.4344 alpha=90.00 beta=90.00 gamma=90.00
Last column: nearest neighbours and their distance in Å.
Space group Pmm2 (No. 25)
Inequivalent atoms, fractional coordinates:
Si1 0.0000 0.0000 0.0000  2 P 2.52, 4 Pt 2.52
P1 0.0000 0.5000 0.4721  4 P 2.41, 2 Pt 2.62
P2 0.5000 0.0000 0.3121  4 P 2.41, 2 Si 2.52
Pt1 0.5000 0.5000 0.8038  4 Si 2.52, 2 P 2.62

Calculated values
Its total magnetization is 0.000 μB/atom. As for the uncorrected formation energy: -0.005 eV/atom. The total DFT energy (no corrections) is -5.576 eV per atom.

---

(5)
The following is a DFT calculation (PBE) of a geometry-optimized SiPPt structure.

Unit cell a=5.8338 b=5.8338 c=5.8338 alpha=90.00 beta=90.00 gamma=90.00
Last column: nearest neighbours and their distance in Å.
Space group P2_13 (No. 198)
Inequivalent atoms, fractional coordinates:
Si1 0.1102 0.3898 0.6102  1 P 2.25, 3 Pt 2.46
P1 0.1126 0.1126 0.1126  1 Si 2.25, 3 Pt 2.43
Pt1 0.0028 0.9972 0.4972  3 P 2.43, 3 Si 2.46

Calculated values
Its total magnetization is 0.000 μB/atom. As for the uncorrected formation energy: -0.476 eV/atom. The total DFT energy (no corrections) is -6.100 eV per atom.

---

(6)
The following is a DFT calculation (PBE) of a geometry-optimized SiPPt2 structure.

Unit cell a=2.9921 b=3.0183 c=6.6376 alpha=90.00 beta=90.00 gamma=90.00
Last column: nearest neighbours and their distance in Å.
Space group Pmmm (No. 47)
Inequivalent atoms, fractional coordinates:
Si1 0.0000 0.0000 0.0000  8 Pt 2.57
P1 0.0000 0.0000 0.5000  8 Pt 2.83, 4 P 2.99-3.02
Pt1 0.5000 0.5000 0.2187  4 Si 2.57, 4 P 2.83

Calculated values
Its total magnetization is 0.000 μB/atom. As for the uncorrected formation energy: -0.097 eV/atom. The total DFT energy (no corrections) is -5.826 eV per atom.

---

(7)
The following is a DFT calculation (PBE) of a geometry-optimized Si2PPt structure.

Unit cell a=5.4898 b=5.4898 c=10.2418 alpha=90.00 beta=90.00 gamma=90.00
Last column: nearest neighbours and their distance in Å.
Space group I-42d (No. 122)
Inequivalent atoms, fractional coordinates:
Si1 0.2474 0.2500 0.1250  2 P 2.32, 2 Pt 2.33
P1 0.0000 0.0000 0.0000  4 Si 2.32
Pt1 0.0000 0.0000 0.5000  4 Si 2.33

Calculated values
Its total magnetization is 0.000 μB/atom. As for the uncorrected formation energy: -0.267 eV/atom. The total DFT energy (no corrections) is -5.841 eV per atom.

---

(8)
The following is a DFT calculation (PBE) of a geometry-optimized SiPPt structure.

Unit cell a=5.8604 b=5.8604 c=5.8604 alpha=90.00 beta=90.00 gamma=90.00
Last column: nearest neighbours and their distance in Å.
Space group F-43m (No. 216)
Inequivalent atoms, fractional coordinates:
Si1 0.0000 0.0000 0.0000  4 Pt 2.54
P1 0.0000 0.0000 0.5000  4 Pt 2.54
Pt1 0.2500 0.2500 0.7500  4 Si 2.54, 4 P 2.54

Calculated values
Its total magnetization is 0.000 μB/atom. As for the uncorrected formation energy: -0.234 eV/atom. The total DFT energy (no corrections) is -5.858 eV per atom.

---

(9)
The following is a DFT calculation (PBE) of a geometry-optimized SiP2Pt structure.

Unit cell a=5.3733 b=5.3733 c=10.4081 alpha=90.00 beta=90.00 gamma=90.00
Last column: nearest neighbours and their distance in Å.
Space group I-42d (No. 122)
Inequivalent atoms, fractional coordinates:
Si1 0.0000 0.0000 0.0000  4 P 2.28
P1 0.2437 0.2500 0.1250  2 Si 2.28, 2 Pt 2.32
Pt1 0.0000 0.0000 0.5000  4 P 2.32

Calculated values
Its total magnetization is 0.000 μB/atom. As for the uncorrected formation energy: -0.284 eV/atom. The total DFT energy (no corrections) is -5.855 eV per atom.

---

(10)
The following is a DFT calculation (PBE) of a geometry-optimized SiP2Pt structure.

Unit cell a=3.4250 b=4.9130 c=7.1501 alpha=90.00 beta=90.00 gamma=90.00
Last column: nearest neighbours and their distance in Å.
Space group Cmm2 (No. 35)
Inequivalent atoms, fractional coordinates:
Si1 0.0000 0.0000 0.0000  2 P 2.42, 2 Pt 2.43
P1 0.0000 0.0000 0.5166  2 P 2.45, 2 Pt 2.61
P2 0.0000 0.5000 0.7616  2 Si 2.42, 2 P 2.45
Pt1 0.0000 0.5000 0.2414  2 Si 2.43, 2 P 2.61

Calculated values
Its total magnetization is 0.000 μB/atom. As for the uncorrected formation energy: 0.295 eV/atom. The total DFT energy (no corrections) is -5.276 eV per atom.

---

(11)
The following is a DFT calculation (PBE) of a geometry-optimized SiPPt structure.

Unit cell a=5.7414 b=4.7910 c=6.7225 alpha=90.00 beta=90.00 gamma=90.00
Last column: nearest neighbours and their distance in Å.
Space group Pnma (No. 62)
Inequivalent atoms, fractional coordinates:
Si1 0.2156 0.2500 0.0241  2 P 2.35-2.36, 4 Pt 2.48-2.58
P1 0.1016 0.2500 0.3613  2 Si 2.35-2.36, 1 Pt 2.41
Pt1 0.1605 0.7500 0.1573  1 P 2.41, 4 Si 2.48-2.58

Calculated values
Its total magnetization is 0.000 μB/atom. As for the uncorrected formation energy: -0.176 eV/atom. The total DFT energy (no corrections) is -5.800 eV per atom.

---

(12)
The following is a DFT calculation (PBE) of a geometry-optimized Si2PPt structure.

Unit cell a=3.6973 b=4.5646 c=7.0740 alpha=90.00 beta=90.00 gamma=90.00
Last column: nearest neighbours and their distance in Å.
Space group Cmm2 (No. 35)
Inequivalent atoms, fractional coordinates:
Si1 0.0000 0.0000 0.0000  2 Pt 2.46, 2 Si 2.63
Si2 0.0000 0.5000 0.2646  2 P 2.46, 2 Si 2.63
P1 0.0000 0.0000 0.4945  2 Si 2.46, 2 Pt 2.69
Pt1 0.0000 0.5000 0.7702  2 Si 2.46, 2 P 2.69

Calculated values
Its total magnetization is 0.000 μB/atom. As for the uncorrected formation energy: 0.226 eV/atom. The total DFT energy (no corrections) is -5.348 eV per atom.

---

(13)
The following is a DFT calculation (PBE) of a geometry-optimized SiPPt2 structure.

Unit cell a=5.2379 b=5.2379 c=11.3968 alpha=90.00 beta=90.00 gamma=90.00
Last column: nearest neighbours and their distance in Å.
Space group I-42d (No. 122)
Inequivalent atoms, fractional coordinates:
Si1 0.0000 0.0000 0.0000  4 Pt 2.37
P1 0.0000 0.0000 0.5000  4 Pt 2.30
Pt1 0.2380 0.2500 0.6250  2 P 2.30, 2 Si 2.37

Calculated values
Its total magnetization is 0.000 μB/atom. As for the uncorrected formation energy: -0.394 eV/atom. The total DFT energy (no corrections) is -6.122 eV per atom.

---

(14)
The following is a DFT calculation (PBE) of a geometry-optimized Si2PPt structure.

Unit cell a=4.7244 b=4.7244 c=2.6686 alpha=90.00 beta=90.00 gamma=90.00
Last column: nearest neighbours and their distance in Å.
Space group P4/mmm (No. 123)
Inequivalent atoms, fractional coordinates:
Si1 0.0000 0.5000 0.0000  2 Si 2.67, 4 Pt 2.71, 4 P 2.71
P1 0.0000 0.0000 0.5000  2 P 2.67, 8 Si 2.71
Pt1 0.5000 0.5000 0.5000  2 Pt 2.67, 8 Si 2.71

Calculated values
Its total magnetization is 0.000 μB/atom. As for the uncorrected formation energy: 0.206 eV/atom. The total DFT energy (no corrections) is -5.368 eV per atom.

---

(15)
The following is a DFT calculation (PBE) of a geometry-optimized SiPPt2 structure.

Unit cell a=7.1704 b=3.5203 c=5.2852 alpha=90.00 beta=92.09 gamma=90.00
Last column: nearest neighbours and their distance in Å.
Space group Cm (No. 8)
Inequivalent atoms, fractional coordinates:
Si1 0.0000 0.0000 0.0000  5 Pt 2.35-2.62
P1 0.1934 0.5000 0.4895  5 Pt 2.33-2.60
Pt1 0.2780 0.0000 0.7773  3 Si 2.35-2.62, 2 P 2.39
Pt2 0.4034 0.0000 0.2769  3 P 2.33-2.60, 2 Si 2.41

Calculated values
Its total magnetization is 0.000 μB/atom. As for the uncorrected formation energy: -0.467 eV/atom. The total DFT energy (no corrections) is -6.196 eV per atom.

---

(16)
The following is a DFT calculation (PBE) of a geometry-optimized SiPPt structure.

Unit cell a=2.7818 b=4.3562 c=7.4658 alpha=90.00 beta=90.00 gamma=90.00
Last column: nearest neighbours and their distance in Å.
Space group Imm2 (No. 44)
Inequivalent atoms, fractional coordinates:
Si1 0.0000 0.0000 0.0000  1 P 2.43, 1 Pt 2.57
P1 0.0000 0.0000 0.6749  1 Si 2.43, 1 Pt 2.47
Pt1 0.0000 0.0000 0.3436  1 P 2.47, 1 Si 2.57

Calculated values
Its total magnetization is 0.000 μB/atom. As for the uncorrected formation energy: 0.186 eV/atom. The total DFT energy (no corrections) is -5.438 eV per atom.

---

(17)
The following is a DFT calculation (PBE) of a geometry-optimized SiP2Pt structure.

Unit cell a=5.3177 b=6.7225 c=3.3312 alpha=90.00 beta=90.00 gamma=90.00
Last column: nearest neighbours and their distance in Å.
Space group Cmmm (No. 65)
Inequivalent atoms, fractional coordinates:
Si1 0.0000 0.0000 0.0000  2 Pt 2.66, 8 P 2.71
P1 0.2500 0.2500 0.5000  2 P 2.66, 4 Si 2.71, 4 Pt 2.71
Pt1 0.0000 0.5000 0.0000  2 Si 2.66, 8 P 2.71

Calculated values
Its total magnetization is 0.000 μB/atom. As for the uncorrected formation energy: 0.337 eV/atom. The total DFT energy (no corrections) is -5.234 eV per atom.

---

(18)
The following is a DFT calculation (PBE) of a geometry-optimized SiPPt2 structure.

Unit cell a=6.2559 b=6.2559 c=6.2559 alpha=90.00 beta=90.00 gamma=90.00
Last column: nearest neighbours and their distance in Å.
Space group F-43m (No. 216)
Inequivalent atoms, fractional coordinates:
Si1 0.0000 0.0000 0.0000  4 Pt 2.71, 4 P 2.71
P1 0.2500 0.2500 0.7500  4 Pt 2.71, 4 Si 2.71
Pt1 0.0000 0.0000 0.5000  4 P 2.71, 4 Pt 2.71
Pt2 0.2500 0.2500 0.2500  4 Pt 2.71, 4 Si 2.71

Calculated values
Its total magnetization is 0.000 μB/atom. As for the uncorrected formation energy: 0.250 eV/atom. The total DFT energy (no corrections) is -5.478 eV per atom.

---

(19)
The following is a DFT calculation (PBE) of a geometry-optimized SiPPt2 structure.

Unit cell a=3.0260 b=3.0260 c=7.3563 alpha=90.00 beta=90.00 gamma=90.00
Last column: nearest neighbours and their distance in Å.
Space group P4mm (No. 99)
Inequivalent atoms, fractional coordinates:
Si1 0.0000 0.0000 0.0000  4 Pt 2.50
P1 0.5000 0.5000 0.3673  4 Pt 2.45
Pt1 0.0000 0.0000 0.5309  4 P 2.45
Pt2 0.5000 0.5000 0.8235  4 Si 2.50

Calculated values
Its total magnetization is 0.000 μB/atom. As for the uncorrected formation energy: -0.082 eV/atom. The total DFT energy (no corrections) is -5.811 eV per atom.

---

(20)
The following is a DFT calculation (PBE) of a geometry-optimized SiPPt2 structure.

Unit cell a=3.6540 b=3.4546 c=5.0625 alpha=90.00 beta=95.18 gamma=90.00
Last column: nearest neighbours and their distance in Å.
Space group P2/m (No. 10)
Inequivalent atoms, fractional coordinates:
Si1 0.0000 0.0000 0.0000  6 Pt 2.51-2.53
P1 0.5000 0.5000 0.5000  6 Pt 2.51-2.53
Pt1 0.0000 0.0000 0.5000  4 P 2.51, 2 Si 2.53
Pt2 0.5000 0.5000 0.0000  4 Si 2.51, 2 P 2.53

Calculated values
Its total magnetization is 0.000 μB/atom. As for the uncorrected formation energy: -0.239 eV/atom. The total DFT energy (no corrections) is -5.967 eV per atom.